A plane-wave DFT calculation with PBE was carried out for an optimized crystal structure of LiBe.

Properties
DOS at the Fermi energy = 0.67 states/eV/f.u.
relative energy among the computed polymorphs = 123.7 meV/atom
ΔH_f (0 K) = 0.253 eV per atom
electronic total energy = -5.13 eV per formula unit

Lattice parameters (Å, degrees): 8.726 8.726 8.726 16.20 16.20 16.20
Sites, in units of the cell vectors:
Li1 0.117 0.117 0.117
Li2 0.883 0.883 0.883
Be1 0.367 0.367 0.367
Be2 0.633 0.633 0.633

A plane-wave DFT calculation with PBE was carried out for an optimized crystal structure of Mn6Zn2GeN.

Properties
DOS at the Fermi energy = 6.02 states/eV/f.u.
ΔE_f (raw) = 4.06 eV/f.u.
electronic total energy = -66.44 eV per formula unit

Lattice parameters (Å, degrees): 4.288 4.288 8.272 90.00 90.00 90.00
Sites, in units of the cell vectors:
Mn1 0.000 0.000 0.222
Mn2 0.000 0.000 0.778
Mn3 0.000 0.500 0.000
Mn4 0.000 0.500 0.500
Mn5 0.500 0.000 0.000
Mn6 0.500 0.000 0.500
Zn1 0.500 0.500 0.256
Zn2 0.500 0.500 0.744
Ge1 0.000 0.000 0.500
N1 0.000 0.000 0.000

A plane-wave DFT calculation with PBE was carried out for an optimized crystal structure of PrZnCd2Pt2.

Properties
DOS at the Fermi energy = 3.18 states/eV/f.u.
ΔH_f (0 K) = -0.237 eV per atom
electronic total energy = -21.39 eV per formula unit

Lattice parameters (Å, degrees): 6.493 6.493 6.493 131.14 131.14 71.60
Sites, in units of the cell vectors:
Pr1 0.000 0.000 0.000
Zn1 0.500 0.500 0.000
Cd1 0.250 0.750 0.500
Cd2 0.750 0.250 0.500
Pt1 0.269 0.269 0.000
Pt2 0.731 0.731 0.000

A plane-wave DFT calculation with PBE was carried out for an optimized crystal structure of Er4Tm15Mg.

Properties
DOS at the Fermi energy = 26.03 states/eV/f.u.
ΔH_f (0 K) = 0.025 eV per atom
electronic total energy = -86.41 eV per formula unit

Lattice parameters (Å, degrees): 4.919 4.919 24.639 90.00 90.00 90.00
Sites, in units of the cell vectors:
Er1 0.000 0.000 0.101
Er2 0.000 0.000 0.302
Er3 0.000 0.000 0.698
Er4 0.000 0.000 0.899
Tm1 0.000 0.500 0.000
Tm2 0.000 0.500 0.202
Tm3 0.000 0.500 0.402
Tm4 0.000 0.500 0.598
Tm5 0.000 0.500 0.798
Tm6 0.500 0.000 0.000
Tm7 0.500 0.000 0.202
Tm8 0.500 0.000 0.402
Tm9 0.500 0.000 0.598
Tm10 0.500 0.000 0.798
Tm11 0.500 0.500 0.101
Tm12 0.500 0.500 0.304
Tm13 0.500 0.500 0.500
Tm14 0.500 0.500 0.696
Tm15 0.500 0.500 0.899
Mg1 0.000 0.000 0.500

A plane-wave DFT calculation with PBE was carried out for an optimized crystal structure of Ce3AlAg3S8.

Properties
DOS at the Fermi energy = 14.57 states/eV/f.u.
ΔE_f (raw) = -17.28 eV/f.u.
electronic total energy = -80.40 eV per formula unit

Lattice parameters (Å, degrees): 7.657 7.657 7.657 63.85 63.85 63.85
Sites, in units of the cell vectors:
Ce1 0.000 0.500 0.500
Ce2 0.500 0.000 0.500
Ce3 0.500 0.500 0.000
Al1 0.000 0.000 0.000
Ag1 0.000 0.000 0.500
Ag2 0.000 0.500 0.000
Ag3 0.500 0.000 0.000
S1 0.221 0.776 0.776
S2 0.224 0.224 0.779
S3 0.224 0.779 0.224
S4 0.252 0.252 0.252
S5 0.748 0.748 0.748
S6 0.776 0.221 0.776
S7 0.776 0.776 0.221
S8 0.779 0.224 0.224

A plane-wave DFT calculation with PBE was carried out for an optimized crystal structure of ScAl2In.

Properties
DOS at the Fermi energy = 3.22 states/eV/f.u.
ΔH_f (0 K) = -0.041 eV per atom
electronic total energy = -16.72 eV per formula unit

Lattice parameters (Å, degrees): 9.838 9.838 9.838 18.59 18.59 18.59
Sites, in units of the cell vectors:
Sc1 0.000 0.000 0.000
Al1 0.252 0.252 0.252
Al2 0.748 0.748 0.748
In1 0.500 0.500 0.500

A plane-wave DFT calculation with PBE was carried out for an optimized crystal structure of InNi2Os.

Properties
DOS at the Fermi energy = 6.23 states/eV/f.u.
ΔH_f (0 K) = 0.282 eV per atom
electronic total energy = -24.40 eV per formula unit

Lattice parameters (Å, degrees): 4.525 4.525 4.525 127.85 127.85 76.86
Sites, in units of the cell vectors:
In1 0.000 0.000 0.000
Ni1 0.250 0.750 0.500
Ni2 0.750 0.250 0.500
Os1 0.500 0.500 0.000

A plane-wave DFT calculation with PBE was carried out for an optimized crystal structure of Ba5Au2Br.

Properties
DOS at the Fermi energy = 6.59 states/eV/f.u.
ΔE_f (raw) = -5.91 eV/f.u.
electronic total energy = -23.75 eV per formula unit

Lattice parameters (Å, degrees): 12.512 8.139 15.976 90.00 108.11 90.00
Sites, in units of the cell vectors:
Ba1 0.001 0.202 0.331
Ba2 0.001 0.298 0.831
Ba3 0.196 0.245 0.138
Ba4 0.196 0.255 0.638
Ba5 0.212 0.749 0.478
Ba6 0.212 0.751 0.978
Ba7 0.383 0.170 0.415
Ba8 0.383 0.330 0.915
Ba9 0.408 0.704 0.286
Ba10 0.408 0.796 0.786
Ba11 0.592 0.204 0.214
Ba12 0.592 0.296 0.714
Ba13 0.617 0.670 0.085
Ba14 0.617 0.830 0.585
Ba15 0.788 0.249 0.022
Ba16 0.788 0.251 0.522
Ba17 0.804 0.745 0.362
Ba18 0.804 0.755 0.862
Ba19 0.999 0.702 0.169
Ba20 0.999 0.798 0.669
Au1 0.188 0.554 0.788
Au2 0.188 0.946 0.288
Au3 0.393 0.015 0.609
Au4 0.393 0.485 0.109
Au5 0.607 0.515 0.891
Au6 0.607 0.985 0.391
Au7 0.812 0.054 0.712
Au8 0.812 0.446 0.212
Br1 0.000 0.000 0.000
Br2 0.000 0.500 0.500
Br3 0.500 0.000 0.000
Br4 0.500 0.500 0.500

A plane-wave DFT calculation with PBE was carried out for an optimized crystal structure of Ca4ReBr.

Properties
DOS at the Fermi energy = 10.58 states/eV/f.u.
ΔE_f (raw) = 5.42 eV/f.u.
electronic total energy = -16.70 eV per formula unit

Lattice parameters (Å, degrees): 6.491 6.491 6.491 60.00 60.00 60.00
Sites, in units of the cell vectors:
Ca1 0.123 0.123 0.123
Ca2 0.123 0.123 0.630
Ca3 0.123 0.630 0.123
Ca4 0.630 0.123 0.123
Re1 0.750 0.750 0.750
Br1 0.500 0.500 0.500

A plane-wave DFT calculation with PBE was carried out for an optimized crystal structure of P2SIF.

Properties
DOS at the Fermi energy = 2.16 states/eV/f.u.
ΔE_f (raw) = 1.85 eV/f.u.
relative energy among the computed polymorphs = 0.0 meV/atom
electronic total energy = -16.52 eV per formula unit

Lattice parameters (Å, degrees): 4.688 4.688 4.274 90.00 90.00 90.00
Sites, in units of the cell vectors:
P1 0.000 0.500 0.000
P2 0.500 0.000 0.000
S1 0.000 0.000 0.000
I1 0.500 0.500 0.500
F1 0.000 0.000 0.500

A plane-wave DFT calculation with PBE was carried out for an optimized crystal structure of Ac3CuPb.

Properties
DOS at the Fermi energy = 5.97 states/eV/f.u.
relative energy among the computed polymorphs = 0.0 meV/atom
ΔH_f (0 K) = -0.247 eV per atom
electronic total energy = -21.37 eV per formula unit

Lattice parameters (Å, degrees): 9.260 9.260 9.505 91.23 91.23 26.20
Sites, in units of the cell vectors:
Ac1 0.000 0.000 0.000
Ac2 0.215 0.215 0.604
Ac3 0.296 0.296 0.993
Ac4 0.511 0.511 0.597
Ac5 0.648 0.648 0.253
Ac6 0.863 0.863 0.344
Cu1 0.038 0.038 0.352
Cu2 0.474 0.474 0.246
Pb1 0.643 0.643 0.876
Pb2 0.868 0.868 0.721

A plane-wave DFT calculation with PBE was carried out for an optimized crystal structure of Ti2Nb6Ga.

Properties
DOS at the Fermi energy = 10.16 states/eV/f.u.
ΔH_f (0 K) = 0.010 eV per atom
electronic total energy = -79.14 eV per formula unit

Lattice parameters (Å, degrees): 7.810 7.810 3.317 94.77 94.77 125.81
Sites, in units of the cell vectors:
Ti1 0.162 0.838 0.000
Ti2 0.838 0.162 0.000
Nb1 0.173 0.496 0.666
Nb2 0.327 0.327 0.159
Nb3 0.496 0.173 0.666
Nb4 0.504 0.827 0.334
Nb5 0.673 0.673 0.841
Nb6 0.827 0.504 0.334
Ga1 0.000 0.000 0.500